(1)
Material: Na2Np2Cl7
Method: DFT, GGA-PBE
State: optimized geometry

Unit cell a=7.383 b=7.383 c=7.596 alpha=95.21 beta=95.21 gamma=111.33
Positions (direct):
Na: 0.233 0.233 0.108
Na: 0.767 0.767 0.892
Np: 0.180 0.820 0.500
Np: 0.820 0.180 0.500
Cl: 0.054 0.453 0.293
Cl: 0.064 0.064 0.737
Cl: 0.453 0.054 0.293
Cl: 0.500 0.500 0.000
Cl: 0.547 0.946 0.707
Cl: 0.936 0.936 0.263
Cl: 0.946 0.547 0.707

## Properties
E_form (uncorrected) ... -1.573 eV/atom
E ... -5.341 eV per atom
Theoretical density ... 3351 kg/m3
Energy above the lowest structure with this stoichiometry ... 0.615 eV/f.u.

(2)
Material: Mg2ZrBeP
Method: DFT, GGA-PBE
State: optimized geometry

Unit cell a=5.488 b=5.488 c=4.611 alpha=90.00 beta=90.00 gamma=90.00
Positions (direct):
Mg: 0.000 0.500 0.000
Mg: 0.500 0.000 0.000
Zr: 0.000 0.000 0.000
Be: 0.000 0.000 0.500
P: 0.500 0.500 0.500

## Properties
E ... -2.573 eV per atom
ΔH_f (0 K) ... 1.60 eV per atom
Theoretical density ... 2150 kg/m3
Energy above the lowest structure with this stoichiometry ... 5.920 eV/f.u.

- What is the theoretical density in the second record?
  2150 kg/m3

What did the first record say?
Material: Na2Np2Cl7
Method: DFT, GGA-PBE
State: optimized geometry

Unit cell a=7.383 b=7.383 c=7.596 alpha=95.21 beta=95.21 gamma=111.33
Positions (direct):
Na: 0.233 0.233 0.108
Na: 0.767 0.767 0.892
Np: 0.180 0.820 0.500
Np: 0.820 0.180 0.500
Cl: 0.054 0.453 0.293
Cl: 0.064 0.064 0.737
Cl: 0.453 0.054 0.293
Cl: 0.500 0.500 0.000
Cl: 0.547 0.946 0.707
Cl: 0.936 0.936 0.263
Cl: 0.946 0.547 0.707

## Properties
E_form (uncorrected) ... -1.573 eV/atom
E ... -5.341 eV per atom
Theoretical density ... 3351 kg/m3
Energy above the lowest structure with this stoichiometry ... 0.615 eV/f.u.

- What is the E in the second record?
  -2.573 eV per atom